Entry 1:
Compound: HoMg5Pb8
Source: Alexandria via LeMat-Bulk
Functional: PBE-GGA
Structure: relaxed

Energy relative to the elements   -0.0223 eV/atom
Calculated density   8.1 Mg/m³
Space group   I-4 (82)

The structure in CIF format:
```
data_HoMg5Pb8
_cell_length_a 8.0554
_cell_length_b 8.0554
_cell_length_c 8.0554
_cell_angle_alpha 106.89
_cell_angle_beta 114.77
_cell_angle_gamma 106.89
_space_group_name_H-M_alt 'P 1'
_space_group_IT_number 1
loop_
_space_group_symop_operation_xyz
'x,y,z'
loop_
_atom_site_label
_atom_site_type_symbol
_atom_site_fract_x
_atom_site_fract_y
_atom_site_fract_z
_atom_site_occupancy
Pb1 Pb 0.9917 0.0558 0.6367 1
Pb2 Pb 0.3633 0.3550 0.4191 1
Pb3 Pb 0.7533 0.3061 0.4043 1
Pb4 Pb 0.5957 0.3490 0.9019 1
Pb5 Pb 0.0641 0.6450 0.0083 1
Pb6 Pb 0.5529 0.6510 0.2467 1
Pb7 Pb 0.5809 0.9442 0.9359 1
Pb8 Pb 0.0981 0.6939 0.4471 1
Mg1 Mg 0.7629 0.7460 0.7230 1
Mg2 Mg 0.9770 0.2540 0.0169 1
Mg3 Mg 0.5000 0.0000 0.5000 1
Mg4 Mg 0.9831 0.9601 0.2371 1
Mg5 Mg 0.2770 0.0399 0.0230 1
Ho1 Ho 0.2500 0.5000 0.7500 1
```


Entry 2:
Compound: Ho2MgPb3
Source: Alexandria via LeMat-Bulk
Functional: PBE-GGA
Structure: relaxed

Energy relative to the elements   -0.3716 eV/atom
Calculated density   10.0 Mg/m³
Excess energy over the best structure of this formula in the dataset   0.0000 eV/atom
Space group   Cmmm (65)

The structure in CIF format:
```
data_Ho2MgPb3
_cell_length_a 4.4430
_cell_length_b 4.6924
_cell_length_c 8.0760
_cell_angle_alpha 90.00
_cell_angle_beta 105.97
_cell_angle_gamma 90.00
_space_group_name_H-M_alt 'P 1'
_space_group_IT_number 1
loop_
_space_group_symop_operation_xyz
'x,y,z'
loop_
_atom_site_label
_atom_site_type_symbol
_atom_site_fract_x
_atom_site_fract_y
_atom_site_fract_z
_atom_site_occupancy
Ho1 Ho 0.1548 0.5000 0.3097 1
Ho2 Ho 0.8452 0.5000 0.6903 1
Pb1 Pb 0.5000 0.5000 0.0000 1
Pb2 Pb 0.6688 0.0000 0.3376 1
Pb3 Pb 0.3312 0.0000 0.6624 1
Mg1 Mg 0.0000 0.0000 0.0000 1
```


Entry 3:
Compound: HoMg4Pb7
Source: Alexandria via LeMat-Bulk
Functional: PBE-GGA
Structure: relaxed

Energy relative to the elements   0.0166 eV/atom
Calculated density   8.0 Mg/m³
Space group   C2/m (12)

The structure in CIF format:
```
data_HoMg4Pb7
_cell_length_a 5.8630
_cell_length_b 9.3624
_cell_length_c 7.4672
_cell_angle_alpha 77.05
_cell_angle_beta 66.88
_cell_angle_gamma 71.75
_space_group_name_H-M_alt 'P 1'
_space_group_IT_number 1
loop_
_space_group_symop_operation_xyz
'x,y,z'
loop_
_atom_site_label
_atom_site_type_symbol
_atom_site_fract_x
_atom_site_fract_y
_atom_site_fract_z
_atom_site_occupancy
Mg1 Mg 0.7078 0.6785 0.9059 1
Mg2 Mg 0.5581 0.2303 0.6535 1
Mg3 Mg 0.4419 0.7697 0.3465 1
Mg4 Mg 0.2922 0.3215 0.0941 1
Pb1 Pb 0.6590 0.4142 0.2677 1
Pb2 Pb 0.0798 0.6404 0.2000 1
Pb3 Pb 0.5000 0.0000 0.0000 1
Pb4 Pb 0.2085 0.1082 0.4748 1
Pb5 Pb 0.7915 0.8918 0.5252 1
Pb6 Pb 0.3410 0.5858 0.7323 1
Pb7 Pb 0.9202 0.3596 0.8000 1
Ho1 Ho 0.0000 0.0000 0.0000 1
```


Entry 4:
Compound: HoMgPb
Source: Alexandria via LeMat-Bulk
Functional: PBE-GGA
Structure: relaxed

Energy relative to the elements   -0.2780 eV/atom
Calculated density   8.5 Mg/m³
Space group   P3m1 (156)

The structure in CIF format:
```
data_HoMgPb
_cell_length_a 3.5570
_cell_length_b 5.0285
_cell_length_c 5.0285
_cell_angle_alpha 120.00
_cell_angle_beta 90.00
_cell_angle_gamma 90.00
_space_group_name_H-M_alt 'P 1'
_space_group_IT_number 1
loop_
_space_group_symop_operation_xyz
'x,y,z'
loop_
_atom_site_label
_atom_site_type_symbol
_atom_site_fract_x
_atom_site_fract_y
_atom_site_fract_z
_atom_site_occupancy
Ho1 Ho 0.6668 0.6667 0.3333 1
Mg1 Mg 0.1677 0.0000 0.0000 1
Pb1 Pb 0.1655 0.3333 0.6667 1
```


Entry 5:
Compound: Ho2MgPb3
Source: Alexandria via LeMat-Bulk
Functional: PBE-GGA
Structure: relaxed

Energy relative to the elements   -0.0895 eV/atom
Calculated density   8.6 Mg/m³
Excess energy over the best structure of this formula in the dataset   0.2821 eV/atom
Space group   Cmcm (63)

The structure in CIF format:
```
data_Ho2MgPb3
_cell_length_a 5.3424
_cell_length_b 8.6536
_cell_length_c 8.6536
_cell_angle_alpha 108.93
_cell_angle_beta 90.00
_cell_angle_gamma 90.00
_space_group_name_H-M_alt 'P 1'
_space_group_IT_number 1
loop_
_space_group_symop_operation_xyz
'x,y,z'
loop_
_atom_site_label
_atom_site_type_symbol
_atom_site_fract_x
_atom_site_fract_y
_atom_site_fract_z
_atom_site_occupancy
Pb1 Pb 0.4931 0.1090 0.6228 1
Pb2 Pb 0.9931 0.8910 0.3772 1
Pb3 Pb 0.4930 0.8992 0.8992 1
Pb4 Pb 0.9931 0.3772 0.8910 1
Pb5 Pb 0.9930 0.1008 0.1008 1
Pb6 Pb 0.4931 0.6228 0.1090 1
Ho1 Ho 0.9931 0.5077 0.2701 1
Ho2 Ho 0.4931 0.7299 0.4923 1
Ho3 Ho 0.9931 0.2701 0.5077 1
Ho4 Ho 0.4931 0.4923 0.7299 1
Mg1 Mg 0.4926 0.2961 0.2961 1
Mg2 Mg 0.9926 0.7039 0.7039 1
```


Entry 6:
Compound: HoMgPb
Source: Alexandria via LeMat-Bulk
Functional: PBE-GGA
Structure: relaxed

Energy relative to the elements   -0.4041 eV/atom
Calculated density   8.3 Mg/m³
Space group   I4/mmm (139)

The structure in CIF format:
```
data_HoMgPb
_cell_length_a 4.4375
_cell_length_b 4.4375
_cell_length_c 8.6145
_cell_angle_alpha 104.93
_cell_angle_beta 104.93
_cell_angle_gamma 90.00
_space_group_name_H-M_alt 'P 1'
_space_group_IT_number 1
loop_
_space_group_symop_operation_xyz
'x,y,z'
loop_
_atom_site_label
_atom_site_type_symbol
_atom_site_fract_x
_atom_site_fract_y
_atom_site_fract_z
_atom_site_occupancy
Pb1 Pb 0.1385 0.1385 0.2771 1
Pb2 Pb 0.8615 0.8615 0.7229 1
Ho1 Ho 0.6645 0.6645 0.3291 1
Ho2 Ho 0.3355 0.3355 0.6709 1
Mg1 Mg 0.0000 0.5000 0.0000 1
Mg2 Mg 0.5000 0.0000 0.0000 1
```


Entry 7:
Compound: Ho6Mg5Pb
Source: Alexandria via LeMat-Bulk
Functional: PBE-GGA
Structure: relaxed

Energy relative to the elements   -0.1582 eV/atom
Calculated density   6.8 Mg/m³
Space group   Cmmm (65)

The structure in CIF format:
```
data_Ho6Mg5Pb
_cell_length_a 5.3494
_cell_length_b 7.4924
_cell_length_c 8.4875
_cell_angle_alpha 90.00
_cell_angle_beta 71.63
_cell_angle_gamma 90.00
_space_group_name_H-M_alt 'P 1'
_space_group_IT_number 1
loop_
_space_group_symop_operation_xyz
'x,y,z'
loop_
_atom_site_label
_atom_site_type_symbol
_atom_site_fract_x
_atom_site_fract_y
_atom_site_fract_z
_atom_site_occupancy
Mg1 Mg 0.6653 0.5000 0.6693 1
Mg2 Mg 0.6722 0.0000 0.6556 1
Mg3 Mg 0.3278 0.0000 0.3444 1
Mg4 Mg 0.0000 0.5000 0.0000 1
Mg5 Mg 0.3347 0.5000 0.3307 1
Ho1 Ho 0.1684 0.7453 0.6631 1
Ho2 Ho 0.5000 0.2526 0.0000 1
Ho3 Ho 0.8316 0.7453 0.3369 1
Ho4 Ho 0.8316 0.2547 0.3369 1
Ho5 Ho 0.5000 0.7474 0.0000 1
Ho6 Ho 0.1684 0.2547 0.6631 1
Pb1 Pb 0.0000 0.0000 0.0000 1
```


Entry 8:
Compound: Ho2MgPb5
Source: Alexandria via LeMat-Bulk
Functional: PBE-GGA
Structure: relaxed

Energy relative to the elements   -0.2972 eV/atom
Calculated density   10.4 Mg/m³
Space group   Pbam (55)

The structure in CIF format:
```
data_Ho2MgPb5
_cell_length_a 4.9588
_cell_length_b 6.6792
_cell_length_c 13.3965
_cell_angle_alpha 90.00
_cell_angle_beta 90.00
_cell_angle_gamma 90.00
_space_group_name_H-M_alt 'P 1'
_space_group_IT_number 1
loop_
_space_group_symop_operation_xyz
'x,y,z'
loop_
_atom_site_label
_atom_site_type_symbol
_atom_site_fract_x
_atom_site_fract_y
_atom_site_fract_z
_atom_site_occupancy
Pb1 Pb 0.0000 0.0345 0.2577 1
Pb2 Pb 0.0000 0.9655 0.7423 1
Pb3 Pb 0.5000 0.7131 0.8876 1
Pb4 Pb 0.5000 0.2869 0.1124 1
Pb5 Pb 0.5000 0.7869 0.3876 1
Pb6 Pb 0.0000 0.5000 0.5000 1
Pb7 Pb 0.0000 0.5345 0.2423 1
Pb8 Pb 0.5000 0.2131 0.6124 1
Pb9 Pb 0.0000 0.0000 0.0000 1
Pb10 Pb 0.0000 0.4655 0.7577 1
Mg1 Mg 0.0000 0.5000 0.0000 1
Mg2 Mg 0.0000 0.0000 0.5000 1
Ho1 Ho 0.5000 0.7106 0.6364 1
Ho2 Ho 0.5000 0.2106 0.8636 1
Ho3 Ho 0.5000 0.7894 0.1364 1
Ho4 Ho 0.5000 0.2894 0.3636 1
```


Entry 9:
Compound: HoMgPb2
Source: Alexandria via LeMat-Bulk
Functional: PBE-GGA
Structure: relaxed

Energy relative to the elements   -0.1523 eV/atom
Calculated density   8.4 Mg/m³
Space group   R3m (160)

The structure in CIF format:
```
data_HoMgPb2
_cell_length_a 4.6184
_cell_length_b 4.6184
_cell_length_c 7.0225
_cell_angle_alpha 70.80
_cell_angle_beta 70.80
_cell_angle_gamma 60.00
_space_group_name_H-M_alt 'P 1'
_space_group_IT_number 1
loop_
_space_group_symop_operation_xyz
'x,y,z'
loop_
_atom_site_label
_atom_site_type_symbol
_atom_site_fract_x
_atom_site_fract_y
_atom_site_fract_z
_atom_site_occupancy
Mg1 Mg 0.4928 0.4928 0.5216 1
Ho1 Ho 0.6730 0.6730 0.9810 1
Pb1 Pb 0.0870 0.0870 0.7391 1
Pb2 Pb 0.2473 0.2473 0.2582 1
```


Entry 10:
Compound: HoMgPb
Source: Alexandria via LeMat-Bulk
Functional: PBE-GGA
Structure: relaxed

Energy relative to the elements   -0.1839 eV/atom
Calculated density   8.2 Mg/m³
Space group   I4mm (107)

The structure in CIF format:
```
data_HoMgPb
_cell_length_a 3.5598
_cell_length_b 3.5598
_cell_length_c 6.8529
_cell_angle_alpha 105.05
_cell_angle_beta 105.05
_cell_angle_gamma 90.00
_space_group_name_H-M_alt 'P 1'
_space_group_IT_number 1
loop_
_space_group_symop_operation_xyz
'x,y,z'
loop_
_atom_site_label
_atom_site_type_symbol
_atom_site_fract_x
_atom_site_fract_y
_atom_site_fract_z
_atom_site_occupancy
Ho1 Ho 0.9515 0.9515 0.9031 1
Pb1 Pb 0.2742 0.2742 0.5485 1
Mg1 Mg 0.6242 0.6242 0.2484 1
```


Entry 11:
Compound: HoMgPb4
Source: Alexandria via LeMat-Bulk
Functional: PBE-GGA
Structure: relaxed

Energy relative to the elements   -0.0392 eV/atom
Calculated density   8.9 Mg/m³
Space group   P4/mmm (123)

The structure in CIF format:
```
data_HoMgPb4
_cell_length_a 4.9395
_cell_length_b 4.9413
_cell_length_c 7.8187
_cell_angle_alpha 89.97
_cell_angle_beta 89.99
_cell_angle_gamma 90.00
_space_group_name_H-M_alt 'P 1'
_space_group_IT_number 1
loop_
_space_group_symop_operation_xyz
'x,y,z'
loop_
_atom_site_label
_atom_site_type_symbol
_atom_site_fract_x
_atom_site_fract_y
_atom_site_fract_z
_atom_site_occupancy
Mg1 Mg 0.5012 0.4974 0.9981 1
Ho1 Ho 0.0013 0.9973 0.4982 1
Pb1 Pb 0.5012 0.9974 0.7632 1
Pb2 Pb 0.0012 0.4974 0.2333 1
Pb3 Pb 0.0014 0.4972 0.7630 1
Pb4 Pb 0.5014 0.9970 0.2331 1
```


Entry 12:
Compound: Ho2MgPb9
Source: Alexandria via LeMat-Bulk
Functional: PBE-GGA
Structure: relaxed

Energy relative to the elements   -0.1696 eV/atom
Calculated density   10.6 Mg/m³
Space group   P4/mmm (123)

The structure in CIF format:
```
data_Ho2MgPb9
_cell_length_a 4.7722
_cell_length_b 4.7722
_cell_length_c 15.2653
_cell_angle_alpha 90.00
_cell_angle_beta 90.00
_cell_angle_gamma 90.00
_space_group_name_H-M_alt 'P 1'
_space_group_IT_number 1
loop_
_space_group_symop_operation_xyz
'x,y,z'
loop_
_atom_site_label
_atom_site_type_symbol
_atom_site_fract_x
_atom_site_fract_y
_atom_site_fract_z
_atom_site_occupancy
Pb1 Pb 0.5000 0.5000 0.0000 1
Pb2 Pb 0.5000 0.0000 0.8342 1
Pb3 Pb 0.0000 0.5000 0.5000 1
Pb4 Pb 0.5000 0.5000 0.3304 1
Pb5 Pb 0.5000 0.0000 0.5000 1
Pb6 Pb 0.5000 0.5000 0.6696 1
Pb7 Pb 0.0000 0.5000 0.1658 1
Pb8 Pb 0.0000 0.5000 0.8342 1
Pb9 Pb 0.5000 0.0000 0.1658 1
Mg1 Mg 0.0000 0.0000 0.0000 1
Ho1 Ho 0.0000 0.0000 0.6585 1
Ho2 Ho 0.0000 0.0000 0.3415 1
```


Entry 13:
Compound: HoMgPb2
Source: Alexandria via LeMat-Bulk
Functional: PBE-GGA
Structure: relaxed

Energy relative to the elements   -0.3058 eV/atom
Calculated density   9.4 Mg/m³
Space group   P4/mmm (123)

The structure in CIF format:
```
data_HoMgPb2
_cell_length_a 4.3971
_cell_length_b 4.9187
_cell_length_c 4.9187
_cell_angle_alpha 90.00
_cell_angle_beta 90.00
_cell_angle_gamma 90.00
_space_group_name_H-M_alt 'P 1'
_space_group_IT_number 1
loop_
_space_group_symop_operation_xyz
'x,y,z'
loop_
_atom_site_label
_atom_site_type_symbol
_atom_site_fract_x
_atom_site_fract_y
_atom_site_fract_z
_atom_site_occupancy
Pb1 Pb 0.0000 0.0000 0.5000 1
Pb2 Pb 0.0000 0.5000 0.0000 1
Mg1 Mg 0.5000 0.0000 0.0000 1
Ho1 Ho 0.5000 0.5000 0.5000 1
```